MnSi2Rh | PBE-GGA | optimized geometry

Results
Energy relative to the elements, uncorrected ... -0.505 eV per atom
DFT total energy ... -7.347 eV/atom
Volume ... 99.5 Å³/cell
Fermi-level density of states ... 0.539 states/eV/atom

The structure in CIF format:
```
data_MnSi2Rh
_cell_length_a 8.726
_cell_length_b 2.793
_cell_length_c 4.227
_cell_angle_alpha 90.00
_cell_angle_beta 104.97
_cell_angle_gamma 90.00
_symmetry_space_group_name_H-M 'C 1 m 1'
_symmetry_Int_Tables_number 8
loop_
_symmetry_equiv_pos_as_xyz
'x,y,z'
'x,-y,z'
'x+1/2,y+1/2,z'
'x+1/2,-y+1/2,z'
loop_
_atom_site_label
_atom_site_fract_x
_atom_site_fract_y
_atom_site_fract_z
Mn1 0.000 0.000 0.000
Si1 0.240 0.500 0.104
Si2 0.488 0.000 0.478
Rh1 0.231 0.000 0.601
```



Mn3SiRh4 | PBE-GGA | optimized geometry

Results
Energy relative to the elements, uncorrected ... -0.407 eV per atom
DFT total energy ... -8.200 eV/atom
Volume ... 220.0 Å³/cell
Fermi-level density of states ... 0.588 states/eV/atom

The structure in CIF format:
```
data_Mn3SiRh4
_cell_length_a 4.257
_cell_length_b 4.257
_cell_length_c 12.141
_cell_angle_alpha 90.00
_cell_angle_beta 90.00
_cell_angle_gamma 90.00
_symmetry_space_group_name_H-M 'I 4/m m m'
_symmetry_Int_Tables_number 139
_symmetry_space_group_name_Hall '-I 4 2'
loop_
_atom_site_label
_atom_site_fract_x
_atom_site_fract_y
_atom_site_fract_z
Mn1 0.000 0.000 0.000
Mn2 0.000 0.000 0.249
Si1 0.000 0.000 0.500
Rh1 0.000 0.500 0.120
```



MnSi3Rh | PBE-GGA | optimized geometry

Results
Offset from the most stable computed form ... 0.000 eV/atom
Energy relative to the elements, uncorrected ... 0.403 eV per atom
DFT total energy ... -6.155 eV/atom
Volume ... 78.5 Å³/cell
Fermi-level density of states ... 0.335 states/eV/atom

The structure in CIF format:
```
data_MnSi3Rh
_cell_length_a 4.282
_cell_length_b 4.282
_cell_length_c 4.282
_cell_angle_alpha 90.00
_cell_angle_beta 90.00
_cell_angle_gamma 90.00
_symmetry_space_group_name_H-M 'P m -3 m'
_symmetry_Int_Tables_number 221
_symmetry_space_group_name_Hall '-P 4 2 3'
loop_
_atom_site_label
_atom_site_fract_x
_atom_site_fract_y
_atom_site_fract_z
Mn1 0.000 0.000 0.000
Si1 0.000 0.000 0.500
Rh1 0.500 0.500 0.500
```



Mn2SiRh | PBE-GGA | optimized geometry

Results
Energy relative to the elements, uncorrected ... -0.257 eV per atom
DFT total energy ... -8.035 eV/atom
Volume ... 96.1 Å³/cell
Fermi-level density of states ... 1.213 states/eV/atom

The structure in CIF format:
```
data_Mn2SiRh
_cell_length_a 2.791
_cell_length_b 4.085
_cell_length_c 8.427
_cell_angle_alpha 90.00
_cell_angle_beta 90.00
_cell_angle_gamma 90.00
_symmetry_space_group_name_H-M 'I m m m'
_symmetry_Int_Tables_number 71
_symmetry_space_group_name_Hall '-I 2 2'
loop_
_atom_site_label
_atom_site_fract_x
_atom_site_fract_y
_atom_site_fract_z
Mn1 0.000 0.000 0.232
Si1 0.000 0.500 0.500
Rh1 0.000 0.500 0.000
```



MnSi2Rh | PBE-GGA | optimized geometry

Results
Energy relative to the elements, uncorrected ... -0.493 eV per atom
DFT total energy ... -7.335 eV/atom
Volume ... 48.1 Å³/cell
Fermi-level density of states ... 0.397 states/eV/atom

The structure in CIF format:
```
data_MnSi2Rh
_cell_length_a 4.054
_cell_length_b 4.054
_cell_length_c 2.927
_cell_angle_alpha 90.00
_cell_angle_beta 90.00
_cell_angle_gamma 90.00
_symmetry_space_group_name_H-M 'P 4/m m m'
_symmetry_Int_Tables_number 123
_symmetry_space_group_name_Hall '-P 4 2'
loop_
_atom_site_label
_atom_site_fract_x
_atom_site_fract_y
_atom_site_fract_z
Mn1 0.000 0.000 0.000
Si1 0.000 0.500 0.500
Rh1 0.500 0.500 0.000
```



MnSi2Rh | PBE-GGA | optimized geometry

Results
Energy relative to the elements, uncorrected ... -0.372 eV per atom
DFT total energy ... -7.213 eV/atom
Volume ... 150.8 Å³/cell
Fermi-level density of states ... 0.609 states/eV/atom

The structure in CIF format:
```
data_MnSi2Rh
_cell_length_a 2.7785
_cell_length_b 2.7785
_cell_length_c 22.5609
_cell_angle_alpha 90.00
_cell_angle_beta 90.00
_cell_angle_gamma 120.00
_symmetry_space_group_name_H-M 'R -3 m'
_symmetry_Int_Tables_number 166
_symmetry_space_group_name_Hall '-R 3 2"'
loop_
_atom_site_label
_atom_site_fract_x
_atom_site_fract_y
_atom_site_fract_z
Mn1 0.0000 0.0000 0.0000
Si1 0.0000 0.0000 0.2541
Rh1 0.0000 0.0000 0.5000
```



Mn2Si2Rh | PBE-GGA | optimized geometry

Results
Energy relative to the elements, uncorrected ... -0.386 eV per atom
DFT total energy ... -7.693 eV/atom
Volume ... 130.3 Å³/cell
Fermi-level density of states ... 0.756 states/eV/atom

The structure in CIF format:
```
data_Mn2Si2Rh
_cell_length_a 6.261
_cell_length_b 6.261
_cell_length_c 3.324
_cell_angle_alpha 90.00
_cell_angle_beta 90.00
_cell_angle_gamma 90.00
_symmetry_space_group_name_H-M 'P 4/m b m'
_symmetry_Int_Tables_number 127
_symmetry_space_group_name_Hall '-P 4 2ab'
loop_
_atom_site_label
_atom_site_fract_x
_atom_site_fract_y
_atom_site_fract_z
Mn1 0.161 0.339 0.000
Si1 0.136 0.636 0.500
Rh1 0.000 0.000 0.500
```



Mn2SiRh | PBE-GGA | optimized geometry

Results
Energy relative to the elements, uncorrected ... -0.241 eV per atom
DFT total energy ... -8.020 eV/atom
Volume ... 102.9 Å³/cell
Fermi-level density of states ... 0.760 states/eV/atom

The structure in CIF format:
```
data_Mn2SiRh
_cell_length_a 5.089
_cell_length_b 7.335
_cell_length_c 2.756
_cell_angle_alpha 90.00
_cell_angle_beta 90.00
_cell_angle_gamma 90.00
_symmetry_space_group_name_H-M 'C m m m'
_symmetry_Int_Tables_number 65
_symmetry_space_group_name_Hall '-C 2 2'
loop_
_atom_site_label
_atom_site_fract_x
_atom_site_fract_y
_atom_site_fract_z
Mn1 0.250 0.250 0.000
Si1 0.000 0.000 0.500
Rh1 0.000 0.500 0.500
```



Mn2SiRh | PBE-GGA | optimized geometry

Results
Energy relative to the elements, uncorrected ... -0.223 eV per atom
DFT total energy ... -8.002 eV/atom
Volume ... 49.9 Å³/cell
Fermi-level density of states ... 0.913 states/eV/atom

The structure in CIF format:
```
data_Mn2SiRh
_cell_length_a 2.673
_cell_length_b 3.667
_cell_length_c 5.085
_cell_angle_alpha 90.00
_cell_angle_beta 90.13
_cell_angle_gamma 90.00
_symmetry_space_group_name_H-M 'P 1 2/m 1'
_symmetry_Int_Tables_number 10
loop_
_symmetry_equiv_pos_as_xyz
'x,y,z'
'-x,-y,-z'
'-x,y,-z'
'x,-y,z'
loop_
_atom_site_label
_atom_site_fract_x
_atom_site_fract_y
_atom_site_fract_z
Mn1 0.003 0.000 0.262
Si1 0.500 0.500 0.500
Rh1 0.500 0.500 0.000
```



MnSi2Rh | PBE-GGA | optimized geometry

Results
Energy relative to the elements, uncorrected ... -0.545 eV per atom
DFT total energy ... -7.387 eV/atom
Volume ... 47.7 Å³/cell
Fermi-level density of states ... 0.297 states/eV/atom

The structure in CIF format:
```
data_MnSi2Rh
_cell_length_a 2.875
_cell_length_b 2.875
_cell_length_c 5.767
_cell_angle_alpha 90.00
_cell_angle_beta 90.00
_cell_angle_gamma 90.00
_symmetry_space_group_name_H-M 'P 4/m m m'
_symmetry_Int_Tables_number 123
_symmetry_space_group_name_Hall '-P 4 2'
loop_
_atom_site_label
_atom_site_fract_x
_atom_site_fract_y
_atom_site_fract_z
Mn1 0.000 0.000 0.000
Si1 0.500 0.500 0.223
Rh1 0.000 0.000 0.500
```



MnSi2Rh | PBE-GGA | optimized geometry

Results
Energy relative to the elements, uncorrected ... -0.044 eV per atom
DFT total energy ... -6.886 eV/atom
Volume ... 218.9 Å³/cell
Fermi-level density of states ... 0.616 states/eV/atom

The structure in CIF format:
```
data_MnSi2Rh
_cell_length_a 6.027
_cell_length_b 6.027
_cell_length_c 6.027
_cell_angle_alpha 90.00
_cell_angle_beta 90.00
_cell_angle_gamma 90.00
_symmetry_space_group_name_H-M 'F -4 3 m'
_symmetry_Int_Tables_number 216
_symmetry_space_group_name_Hall 'F -4 2 3'
loop_
_atom_site_label
_atom_site_fract_x
_atom_site_fract_y
_atom_site_fract_z
Mn1 0.000 0.000 0.000
Si1 0.000 0.000 0.500
Si2 0.250 0.250 0.250
Rh1 0.250 0.250 0.750
```



Mn2Si2Rh | PBE-GGA | optimized geometry

Results
Energy relative to the elements, uncorrected ... -0.052 eV per atom
DFT total energy ... -7.359 eV/atom
Volume ... 136.1 Å³/cell
Fermi-level density of states ... 0.820 states/eV/atom

The structure in CIF format:
```
data_Mn2Si2Rh
_cell_length_a 3.604
_cell_length_b 3.604
_cell_length_c 10.478
_cell_angle_alpha 90.00
_cell_angle_beta 90.00
_cell_angle_gamma 90.00
_symmetry_space_group_name_H-M 'I 4/m m m'
_symmetry_Int_Tables_number 139
_symmetry_space_group_name_Hall '-I 4 2'
loop_
_atom_site_label
_atom_site_fract_x
_atom_site_fract_y
_atom_site_fract_z
Mn1 0.000 0.500 0.250
Si1 0.000 0.000 0.108
Rh1 0.000 0.000 0.500
```



MnSi2Rh | PBE-GGA | optimized geometry

Results
Energy relative to the elements, uncorrected ... -0.124 eV per atom
DFT total energy ... -6.966 eV/atom
Volume ... 161.9 Å³/cell
Fermi-level density of states ... 0.501 states/eV/atom

The structure in CIF format:
```
data_MnSi2Rh
_cell_length_a 2.8401
_cell_length_b 2.8401
_cell_length_c 23.1808
_cell_angle_alpha 90.00
_cell_angle_beta 90.00
_cell_angle_gamma 120.00
_symmetry_space_group_name_H-M 'R 3 m'
_symmetry_Int_Tables_number 160
_symmetry_space_group_name_Hall 'R 3 -2"'
loop_
_atom_site_label
_atom_site_fract_x
_atom_site_fract_y
_atom_site_fract_z
Mn1 0.0000 0.0000 0.0000
Si1 0.0000 0.0000 0.2560
Si2 0.0000 0.0000 0.5028
Rh1 0.0000 0.0000 0.7594
```